Run a
Tm4AgIr | PBE | relaxed

Properties
- N(E_F) (states/eV/cell) = 6.0

abc: 4.8351 4.8351 6.9217
angles: 90.00 90.00 90.00
With the nearest neighbours (Å) after each atom.
Space group P4/mmm (No. 123)
Inequivalent atoms, fractional coordinates:
Tm (0.0000, 0.5000, 0.2339) [4 per cell]  2 Ir 2.91, 2 Ag 3.04, 1 Tm 3.24
Ag (0.0000, 0.0000, 0.5000) [1 per cell]  8 Tm 3.04
Ir (0.5000, 0.5000, 0.0000) [1 per cell]  8 Tm 2.91

Run b
Tm4AgIr | PBE | relaxed

Properties
- N(E_F) (states/eV/cell) = 101.7

abc: 13.3142 13.3142 13.3142
angles: 90.00 90.00 90.00
With the nearest neighbours (Å) after each atom.
Space group F-43m (No. 216)
Inequivalent atoms, fractional coordinates:
Tm (0.0000, 0.0000, 0.1869) [24 per cell]  2 Ag 3.16, 10 Tm 3.40-3.53, 2 Ir 3.40
Tm (0.0611, 0.2500, 0.2500) [24 per cell]  2 Ir 2.76
Tm (0.1027, 0.1027, 0.6027) [16 per cell]  3 Ir 2.79
Ag (0.1675, 0.1675, 0.8325) [16 per cell]  3 Ag 3.11, 9 Tm 3.16-3.42
Ir (0.1071, 0.1071, 0.3929) [16 per cell]  6 Tm 2.76-2.79

run b comes first in stability; the runner-up is 14.5 kJ/mol of atoms higher.

Run a
Tm3AgIr2 | PBE | relaxed

Properties
- N(E_F) (states/eV/cell) = 5.1

abc: 3.4010 3.4010 10.7557
angles: 90.00 90.00 90.00
With the nearest neighbours (Å) after each atom.
Space group P4/mmm (No. 123)
Inequivalent atoms, fractional coordinates:
Tm (0.0000, 0.0000, 0.0000) [1 per cell]  8 Ir 2.97
Tm (0.0000, 0.0000, 0.3099) [2 per cell]  4 Ir 2.88, 4 Ag 3.16
Ag (0.5000, 0.5000, 0.5000) [1 per cell]  8 Tm 3.16, 4 Ag 3.40
Ir (0.5000, 0.5000, 0.1617) [2 per cell]  8 Tm 2.88-2.97

Run b
Tm3AgIr2 | PBE | relaxed

Properties
- N(E_F) (states/eV/cell) = 5.4

abc: 4.9788 14.8345 3.3075
angles: 90.00 90.00 90.00
With the nearest neighbours (Å) after each atom.
Space group Cmmm (No. 65)
Inequivalent atoms, fractional coordinates:
Tm (0.0000, 0.0000, 0.0000) [2 per cell]  4 Ir 2.93, 4 Ag 2.99
Tm (0.0000, 0.3249, 0.0000) [4 per cell]  6 Ir 2.91-2.99, 2 Ag 3.08
Ag (0.0000, 0.5000, 0.5000) [2 per cell]  8 Tm 2.99-3.08, 2 Ag 3.31
Ir (0.0000, 0.1633, 0.5000) [4 per cell]  8 Tm 2.91-2.99

run a comes first in stability; the runner-up is 0.8 kJ/mol of atoms higher.